1.
This record from the Alexandria database describes a relaxed BiPd6Pt2 crystal. The functional is GGA-PBE.

```
data_BiPd6Pt2
_chemical_formula_sum 'Bi2 Pd12 Pt4'
_cell_length_a 11.760
_cell_length_b 4.118
_cell_length_c 6.408
_cell_angle_alpha 90.00
_cell_angle_beta 107.89
_cell_angle_gamma 90.00
_symmetry_space_group_name_H-M 'C 1 2/m 1'
_symmetry_Int_Tables_number 12
_symmetry_space_group_name_Hall '-C 2y'
loop_
_atom_site_label
_atom_site_fract_x
_atom_site_fract_y
_atom_site_fract_z
Bi1 0.000 0.000 0.000
Pd1 0.112 0.000 0.664
Pd2 0.168 0.500 0.999
Pd3 0.224 0.000 0.336
Pt1 0.058 0.500 0.346
```

Values from the calculation:
As for the uncorrected energy: -5.335 eV/atom.

2.
This record from the Alexandria database describes a relaxed Bi2PdPt2 crystal. The functional is GGA-PBE.

```
data_Bi2PdPt2
_chemical_formula_sum 'Bi4 Pd2 Pt4'
_cell_length_a 3.777
_cell_length_b 3.777
_cell_length_c 15.597
_cell_angle_alpha 90.00
_cell_angle_beta 90.00
_cell_angle_gamma 90.00
_symmetry_space_group_name_H-M 'I 4/m m m'
_symmetry_Int_Tables_number 139
_symmetry_space_group_name_Hall '-I 4 2'
loop_
_atom_site_label
_atom_site_fract_x
_atom_site_fract_y
_atom_site_fract_z
Bi1 0.000 0.000 0.108
Pd1 0.000 0.000 0.500
Pt1 0.000 0.500 0.250
```

Values from the calculation:
As for the uncorrected energy: -5.038 eV/atom.

3.
This record from the Alexandria database describes a relaxed BiPd2Pt2 crystal. The functional is GGA-PBE.

```
data_BiPd2Pt2
_chemical_formula_sum 'Bi2 Pd4 Pt4'
_cell_length_a 7.198
_cell_length_b 7.198
_cell_length_c 3.550
_cell_angle_alpha 90.00
_cell_angle_beta 90.00
_cell_angle_gamma 90.00
_symmetry_space_group_name_H-M 'P 4/m b m'
_symmetry_Int_Tables_number 127
_symmetry_space_group_name_Hall '-P 4 2ab'
loop_
_atom_site_label
_atom_site_fract_x
_atom_site_fract_y
_atom_site_fract_z
Bi1 0.000 0.000 0.000
Pd1 0.161 0.339 0.500
Pt1 0.135 0.635 0.000
```

Values from the calculation:
As for the uncorrected energy: -5.273 eV/atom.

4.
This record from the Alexandria database describes a relaxed Bi6PdPt2 crystal. The functional is GGA-PBE.

```
data_Bi6PdPt2
_chemical_formula_sum 'Bi18 Pd3 Pt6'
_cell_length_a 12.3258
_cell_length_b 12.3258
_cell_length_c 5.6880
_cell_angle_alpha 90.00
_cell_angle_beta 90.00
_cell_angle_gamma 120.00
_symmetry_space_group_name_H-M 'P -3 m 1'
_symmetry_Int_Tables_number 164
_symmetry_space_group_name_Hall '-P 3 2"'
loop_
_atom_site_label
_atom_site_fract_x
_atom_site_fract_y
_atom_site_fract_z
Bi1 0.0962 0.5481 0.2203
Bi2 0.1138 0.2277 0.2316
Bi3 0.2141 0.4282 0.7724
Pd1 0.0000 0.0000 0.5000
Pd2 0.3333 0.6667 0.9905
Pt1 0.0000 0.3349 0.5000
```

Values from the calculation:
As for the uncorrected energy: -4.699 eV/atom.

5.
This record from the Alexandria database describes a relaxed Bi6PdPt2 crystal. The functional is GGA-PBE.

```
data_Bi6PdPt2
_chemical_formula_sum 'Bi12 Pd2 Pt4'
_cell_length_a 7.213
_cell_length_b 6.729
_cell_length_c 12.084
_cell_angle_alpha 90.00
_cell_angle_beta 126.59
_cell_angle_gamma 90.00
_symmetry_space_group_name_H-M 'P 1 21/c 1'
_symmetry_Int_Tables_number 14
_symmetry_space_group_name_Hall '-P 2ybc'
loop_
_atom_site_label
_atom_site_fract_x
_atom_site_fract_y
_atom_site_fract_z
Bi1 0.098 0.178 0.442
Bi2 0.224 0.656 0.406
Bi3 0.371 0.528 0.731
Pd1 0.500 0.000 0.500
Pt1 0.213 0.142 0.728
```

Values from the calculation:
As for the uncorrected energy: -4.678 eV/atom.

6.
This record from the Alexandria database describes a relaxed BiPdPt2 crystal. The functional is GGA-PBE.

```
data_BiPdPt2
_chemical_formula_sum 'Bi1 Pd1 Pt2'
_cell_length_a 3.564
_cell_length_b 3.564
_cell_length_c 5.785
_cell_angle_alpha 90.00
_cell_angle_beta 90.00
_cell_angle_gamma 90.00
_symmetry_space_group_name_H-M 'P 4/m m m'
_symmetry_Int_Tables_number 123
_symmetry_space_group_name_Hall '-P 4 2'
loop_
_atom_site_label
_atom_site_fract_x
_atom_site_fract_y
_atom_site_fract_z
Bi1 0.000 0.000 0.000
Pd1 0.000 0.000 0.500
Pt1 0.500 0.500 0.266
```

Values from the calculation:
As for the uncorrected energy: -5.339 eV/atom.

7.
This record from the Alexandria database describes a relaxed BiPd4Pt crystal. The functional is GGA-PBE.

```
data_BiPd4Pt
_chemical_formula_sum 'Bi2 Pd8 Pt2'
_cell_length_a 4.983
_cell_length_b 8.698
_cell_length_c 4.928
_cell_angle_alpha 90.00
_cell_angle_beta 108.00
_cell_angle_gamma 90.00
_symmetry_space_group_name_H-M 'C 1 2/m 1'
_symmetry_Int_Tables_number 12
_symmetry_space_group_name_Hall '-C 2y'
loop_
_atom_site_label
_atom_site_fract_x
_atom_site_fract_y
_atom_site_fract_z
Bi1 0.000 0.000 0.000
Pd1 0.000 0.172 0.500
Pd2 0.000 0.336 0.000
Pt1 0.000 0.500 0.500
```

Values from the calculation:
As for the uncorrected energy: -5.286 eV/atom.

8.
This record from the Alexandria database describes a relaxed BiPd2Pt crystal. The functional is GGA-PBE.

```
data_BiPd2Pt
_chemical_formula_sum 'Bi2 Pd4 Pt2'
_cell_length_a 4.196
_cell_length_b 4.196
_cell_length_c 8.178
_cell_angle_alpha 90.00
_cell_angle_beta 90.00
_cell_angle_gamma 90.00
_symmetry_space_group_name_H-M 'I 4/m m m'
_symmetry_Int_Tables_number 139
_symmetry_space_group_name_Hall '-I 4 2'
loop_
_atom_site_label
_atom_site_fract_x
_atom_site_fract_y
_atom_site_fract_z
Bi1 0.000 0.000 0.000
Pd1 0.000 0.500 0.250
Pt1 0.000 0.000 0.500
```

Values from the calculation:
As for the uncorrected energy: -5.236 eV/atom.

9.
This record from the Alexandria database describes a relaxed BiPdPt2 crystal. The functional is GGA-PBE.

```
data_BiPdPt2
_chemical_formula_sum 'Bi4 Pd4 Pt8'
_cell_length_a 5.644
_cell_length_b 7.028
_cell_length_c 7.391
_cell_angle_alpha 90.00
_cell_angle_beta 90.00
_cell_angle_gamma 90.00
_symmetry_space_group_name_H-M 'I m m a'
_symmetry_Int_Tables_number 74
_symmetry_space_group_name_Hall '-I 2b 2'
loop_
_atom_site_label
_atom_site_fract_x
_atom_site_fract_y
_atom_site_fract_z
Bi1 0.000 0.250 0.061
Pd1 0.000 0.250 0.483
Pt1 0.250 0.042 0.750
```

Values from the calculation:
As for the uncorrected energy: -5.390 eV/atom.

10.
This record from the Alexandria database describes a relaxed BiPd2Pt crystal. The functional is GGA-PBE.

```
data_BiPd2Pt
_chemical_formula_sum 'Bi1 Pd2 Pt1'
_cell_length_a 4.178
_cell_length_b 4.178
_cell_length_c 4.097
_cell_angle_alpha 90.00
_cell_angle_beta 90.00
_cell_angle_gamma 90.00
_symmetry_space_group_name_H-M 'P 4/m m m'
_symmetry_Int_Tables_number 123
_symmetry_space_group_name_Hall '-P 4 2'
loop_
_atom_site_label
_atom_site_fract_x
_atom_site_fract_y
_atom_site_fract_z
Bi1 0.000 0.000 0.000
Pd1 0.000 0.500 0.500
Pt1 0.500 0.500 0.000
```

Values from the calculation:
As for the uncorrected energy: -5.242 eV/atom.

11.
This record from the Alexandria database describes a relaxed BiPdPt2 crystal. The functional is GGA-PBE.

```
data_BiPdPt2
_chemical_formula_sum 'Bi1 Pd1 Pt2'
_cell_length_a 4.100
_cell_length_b 4.100
_cell_length_c 4.284
_cell_angle_alpha 90.00
_cell_angle_beta 90.00
_cell_angle_gamma 90.00
_symmetry_space_group_name_H-M 'P 4/m m m'
_symmetry_Int_Tables_number 123
_symmetry_space_group_name_Hall '-P 4 2'
loop_
_atom_site_label
_atom_site_fract_x
_atom_site_fract_y
_atom_site_fract_z
Bi1 0.000 0.000 0.000
Pd1 0.500 0.500 0.000
Pt1 0.000 0.500 0.500
```

Values from the calculation:
As for the uncorrected energy: -5.383 eV/atom.

12.
This record from the Alexandria database describes a relaxed Bi2Pd4Pt crystal. The functional is GGA-PBE.

```
data_Bi2Pd4Pt
_chemical_formula_sum 'Bi4 Pd8 Pt2'
_cell_length_a 9.346
_cell_length_b 3.997
_cell_length_c 8.106
_cell_angle_alpha 90.00
_cell_angle_beta 116.21
_cell_angle_gamma 90.00
_symmetry_space_group_name_H-M 'C 1 2/m 1'
_symmetry_Int_Tables_number 12
_symmetry_space_group_name_Hall '-C 2y'
loop_
_atom_site_label
_atom_site_fract_x
_atom_site_fract_y
_atom_site_fract_z
Bi1 0.002 0.000 0.264
Pd1 0.245 0.500 0.869
Pd2 0.249 0.000 0.623
Pt1 0.000 0.500 0.000
```

Values from the calculation:
As for the uncorrected energy: -5.133 eV/atom.

no.,magnetic moment (Bohr magnetons per cell)
1,0.0
2,0.0
3,0.0
4,0.0
5,0.0
6,0.0
7,0.0
8,0.0
9,0.0
10,0.0
11,0.0
12,0.0